VASP calculation (PBE) on a relaxed structure of MgSc2B.

E_form = 0.24 eV/atom
Total energy = -39.924 eV/cell
Relative energy among the computed polymorphs = 0.146 eV per atom
Space-group type = I-42d

a = 5.957 Å, b = 5.957 Å, c = 5.957 Å
α = 104.60°, β = 104.60°, γ = 119.73°
Fractional positions:
Mg  0.000  0.000  0.000
Mg  0.750  0.250  0.500
Sc  0.201  0.625  0.076
Sc  0.375  0.451  0.576
Sc  0.549  0.125  0.924
Sc  0.875  0.799  0.424
B  0.250  0.750  0.500
B  0.500  0.500  0.000